! PBE Os2WAu, optimized geometry; values from VASP
! Energy of formation from the pure elements (eV/atom): 0.5431
! Relative energy among the computed polymorphs (meV per atom): 273
&SYSTEM
  ibrav = 0, nat = 4, ntyp = 3
/
ATOMIC_SPECIES
Os 190.23 Os.upf
Au 196.97 Au.upf
W 183.84 W.upf
ATOMIC_POSITIONS angstrom
Os 1.577 1.577 1.577
Os 4.732 4.732 4.732
Au 3.155 3.155 3.155
W 0.000 0.000 0.000
CELL_PARAMETERS angstrom
0.000 3.155 3.155
3.155 0.000 3.155
3.155 3.155 0.000

=====

! PBE Os2WAu, optimized geometry; values from VASP
! Energy of formation from the pure elements (eV/atom): 0.4335
! Relative energy among the computed polymorphs (meV per atom): 163
&SYSTEM
  ibrav = 0, nat = 4, ntyp = 3
/
ATOMIC_SPECIES
Os 190.23 Os.upf
W 183.84 W.upf
Au 196.97 Au.upf
ATOMIC_POSITIONS angstrom
Os 1.664 2.270 0.000
Os 0.000 0.000 0.000
W 2.378 0.002 1.431
Au -0.714 2.268 1.431
CELL_PARAMETERS angstrom
4.756 0.003 0.000
-1.429 4.537 0.000
0.000 0.000 2.862

=====

! PBE YOs3Au, optimized geometry; values from VASP
! Energy of formation from the pure elements (eV/atom): 2.9789
! Relative energy among the computed polymorphs (meV per atom): 896
&SYSTEM
  ibrav = 0, nat = 5, ntyp = 3
/
ATOMIC_SPECIES
Os 190.23 Os.upf
Au 196.97 Au.upf
Y 88.91 Y.upf
ATOMIC_POSITIONS angstrom
Os 2.435 0.000 0.000
Os 0.000 0.000 2.435
Os 0.000 2.435 0.000
Au 2.435 2.435 2.435
Y 0.000 0.000 0.000
CELL_PARAMETERS angstrom
4.869 0.000 0.000
0.000 4.869 0.000
0.000 0.000 4.869

=====

! PBE Y4OsAu3, optimized geometry; values from VASP
! Energy of formation from the pure elements (eV/atom): -0.6794
&SYSTEM
  ibrav = 0, nat = 8, ntyp = 3
/
ATOMIC_SPECIES
Os 190.23 Os.upf
Au 196.97 Au.upf
Y 88.91 Y.upf
ATOMIC_POSITIONS angstrom
Os -1.177 -0.828 -2.030
Au -9.911 5.271 0.545
Au -6.982 3.225 -0.318
Au -4.053 1.180 -1.182
Y -10.288 7.183 3.033
Y -7.295 5.094 2.151
Y -1.323 0.924 0.390
Y -4.316 3.013 1.272
CELL_PARAMETERS angstrom
-0.242 1.066 -3.345
-2.112 -2.722 -0.715
-11.610 8.107 3.423

=====

no.,energy (eV/atom)
1,-9.129
2,-9.239
3,-5.707
4,-6.544